Entry 1:
Density functional theory data (PBE-GGA) for a geometry-optimized HoNi5Sn structure.

Lattice parameters (Å, degrees): 4.8611 8.0392 10.2368 90.00 90.00 90.00
Closest atoms and distances in Å follow each position.
Sites, in units of the cell vectors:
Ni  0.5012  0.4340  0.1906  7 Ni 2.42-2.47, 2 Sn 2.69-2.70
Ni  0.2500  0.0854  0.4826  5 Ni 2.45-2.47, 1 Sn 2.73
Ni  0.4988  0.0660  0.6906  7 Ni 2.42-2.47, 2 Sn 2.69-2.70
Sn  0.2500  0.3596  0.6393  8 Ni 2.55-2.74
Ni  0.7500  0.9146  0.5174  5 Ni 2.45-2.47, 1 Sn 2.73
Ni  0.2500  0.1880  0.2565  7 Ni 2.42-2.57
Ho  0.7500  0.7476  0.0600  10 Ni 2.79-3.11
Ni  0.9988  0.4340  0.1906  7 Ni 2.42-2.47, 2 Sn 2.69-2.70
Sn  0.7500  0.1404  0.1393  8 Ni 2.55-2.74
Ni  0.2500  0.6880  0.2435  7 Ni 2.42-2.57
Ni  0.2500  0.9503  0.0997  4 Ni 2.47-2.57, 1 Sn 2.55
Ni  0.0012  0.5660  0.8094  7 Ni 2.42-2.47, 2 Sn 2.69-2.70
Ni  0.9988  0.9340  0.3094  7 Ni 2.42-2.47, 2 Sn 2.69-2.70
Ho  0.2500  0.7524  0.5600  10 Ni 2.79-3.11
Ni  0.2500  0.4503  0.4003  4 Ni 2.47-2.57, 1 Sn 2.55
Ni  0.7500  0.8120  0.7435  7 Ni 2.42-2.57
Ho  0.2500  0.2524  0.9400  10 Ni 2.79-3.11
Ni  0.7500  0.4146  0.9826  5 Ni 2.45-2.47, 1 Sn 2.73
Ni  0.4988  0.5660  0.8094  7 Ni 2.42-2.47, 2 Sn 2.69-2.70
Ni  0.2500  0.5854  0.0174  5 Ni 2.45-2.47, 1 Sn 2.73
Sn  0.7500  0.6404  0.3607  8 Ni 2.55-2.74
Ni  0.5012  0.9340  0.3094  7 Ni 2.42-2.47, 2 Sn 2.69-2.70
Ni  0.7500  0.5497  0.5997  4 Ni 2.47-2.57, 1 Sn 2.55
Ni  0.0012  0.0660  0.6906  7 Ni 2.42-2.47, 2 Sn 2.69-2.70
Ni  0.7500  0.0497  0.9003  4 Ni 2.47-2.57, 1 Sn 2.55
Sn  0.2500  0.8596  0.8607  8 Ni 2.55-2.74
Ho  0.7500  0.2476  0.4400  10 Ni 2.79-3.11
Ni  0.7500  0.3120  0.7565  7 Ni 2.42-2.57

## Properties
Energy relative to the elements in meV/atom: -379.0
Crystal system: orthorhombic
VASP energy in eV per cell: -160.56
Space-group type: No. 62
Size of the total moment in μB/f.u.: 0.0

---

Entry 2:
Density functional theory data (PBE-GGA) for a geometry-optimized ScOsCl2 structure.

Lattice parameters (Å, degrees): 3.0524 3.0524 8.7524 90.00 90.00 90.00
Closest atoms and distances in Å follow each position.
Sites, in units of the cell vectors:
Cl  0.5000  0.5000  0.3318  4 Os 2.70
Cl  0.0000  0.0000  0.9207  4 Sc 2.72
Sc  0.5000  0.5000  0.7312  4 Cl 2.72, 4 Os 2.86
Os  0.0000  0.0000  0.5164  4 Cl 2.70, 4 Sc 2.86

## Properties
Crystal system: tetragonal
Formation energy from raw total energies in meV per atom: -391
VASP energy in eV per cell: -22.82
Space-group type: No. 99
Size of the total moment in μB/f.u.: 0.0

---

Entry 3:
Density functional theory data (PBE-GGA) for a geometry-optimized BeBPt3 structure.

Lattice parameters (Å, degrees): 4.1396 4.1396 4.1396 90.00 90.00 90.00
Closest atoms and distances in Å follow each position.
Sites, in units of the cell vectors:
Be  0.5000  0.5000  0.5000  12 Pt 2.93
Pt  0.0000  0.0000  0.5000  2 B 2.07
Pt  0.0000  0.5000  0.0000  2 B 2.07
B  0.0000  0.0000  0.0000  6 Pt 2.07
Pt  0.5000  0.0000  0.0000  2 B 2.07

## Properties
Energy relative to the elements in meV/atom: -6.6
Crystal system: cubic
VASP energy in eV per cell: -28.56
Space-group type: No. 221
Size of the total moment in μB/f.u.: 0.0

---

Entry 4:
Density functional theory data (PBE-GGA) for a geometry-optimized LiNdHg4 structure.

Lattice parameters (Å, degrees): 4.0121 5.4593 7.7825 102.21 75.06 68.44
Closest atoms and distances in Å follow each position.
Sites, in units of the cell vectors:
Hg  0.3584  0.9782  0.3050  2 Li 3.08, 4 Hg 3.13-3.40, 3 Nd 3.24-3.25
Nd  0.5000  0.5000  0.5000  10 Hg 3.24-3.29
Hg  0.8121  0.5240  0.8517  3 Li 3.04-3.22, 6 Hg 3.07-3.40, 2 Nd 3.29
Hg  0.1879  0.4760  0.1483  3 Li 3.04-3.22, 6 Hg 3.07-3.40, 2 Nd 3.29
Li  0.0000  0.0000  0.0000  10 Hg 3.04-3.22
Hg  0.6416  0.0218  0.6950  2 Li 3.08, 4 Hg 3.13-3.40, 3 Nd 3.24-3.25

## Properties
Energy relative to the elements in meV/atom: -330.7
Crystal system: monoclinic
VASP energy in eV per cell: -9.87
Space-group type: No. 12
Size of the total moment in μB/f.u.: 0.0

---

Entry 5:
Density functional theory data (PBE-GGA) for a geometry-optimized PaGaSb2 structure.

Lattice parameters (Å, degrees): 4.4044 4.4044 9.3665 76.40 76.40 60.00
Closest atoms and distances in Å follow each position.
Sites, in units of the cell vectors:
Ga  0.0000  0.0000  0.0000  2 Sb 2.81
Pa  0.5000  0.5000  0.5000  6 Sb 3.06
Sb  0.1039  0.1039  0.6883  1 Ga 2.81, 3 Pa 3.06
Sb  0.8961  0.8961  0.3117  1 Ga 2.81, 3 Pa 3.06

## Properties
Crystal system: trigonal
Formation energy from raw total energies in meV per atom: 142
VASP energy in eV per cell: -20.20
Space-group type: No. 166
Size of the total moment in μB/f.u.: 0.0

---

Entry 6:
Density functional theory data (PBE-GGA) for a geometry-optimized BeCoNi2 structure.

Lattice parameters (Å, degrees): 2.4676 2.4676 7.7998 80.90 80.90 60.00
Closest atoms and distances in Å follow each position.
Sites, in units of the cell vectors:
Ni  0.0774  0.0774  0.7679  3 Be 2.28, 6 Ni 2.47, 3 Co 2.50
Be  0.6665  0.6665  0.0005  6 Ni 2.27-2.28, 6 Be 2.47
Ni  0.2561  0.2561  0.2317  3 Be 2.27, 6 Ni 2.47, 3 Co 2.50
Co  0.5001  0.5001  0.4998  6 Co 2.47, 6 Ni 2.50

## Properties
Energy relative to the elements in meV/atom: -106.0
Crystal system: trigonal
VASP energy in eV per cell: -22.82
Space-group type: No. 160
Size of the total moment in μB/f.u.: 2.1

---

Entry 7:
Density functional theory data (PBE-GGA) for a geometry-optimized LiAg5Cl7 structure.

Lattice parameters (Å, degrees): 3.7417 6.7853 24.5047 88.97 90.00 106.01
Closest atoms and distances in Å follow each position.
Sites, in units of the cell vectors:
Ag  0.2654  0.5308  0.4256  6 Cl 2.70-2.89
Cl  0.1023  0.2047  0.6117  1 Li 2.68, 4 Ag 2.70-2.84
Cl  0.1693  0.3385  0.3283  3 Ag 2.66-2.72, 2 Li 2.69
Cl  0.1123  0.2246  0.8924  5 Ag 2.68-2.99
Ag  0.5246  0.0492  0.3310  5 Cl 2.59-2.84
Cl  0.3665  0.7330  0.5294  5 Ag 2.65-2.89
Li  0.8026  0.6053  0.2925  5 Cl 2.42-2.69
Ag  0.7354  0.4709  0.5744  6 Cl 2.70-2.89
Ag  0.0004  0.0007  0.5000  4 Cl 2.65
Ag  0.0001  0.0003  0.0000  4 Cl 2.67
Cl  0.3667  0.7334  0.9700  4 Ag 2.67-2.73
Cl  0.8880  0.7761  0.1076  5 Ag 2.68-2.99
Ag  0.7491  0.4982  0.9200  5 Cl 2.68-2.73
Cl  0.8315  0.6631  0.6718  3 Ag 2.66-2.72, 2 Li 2.69
Cl  0.6058  0.2117  0.7476  2 Li 2.42, 1 Ag 2.59
Cl  0.8663  0.7327  0.8291  3 Ag 2.56-2.68
Cl  0.1340  0.2681  0.1709  3 Ag 2.56-2.68
Cl  0.6336  0.2672  0.0300  4 Ag 2.67-2.73
Li  0.1980  0.3960  0.7075  5 Cl 2.42-2.69
Cl  0.3947  0.7894  0.2524  2 Li 2.42, 1 Ag 2.59
Cl  0.8985  0.7970  0.3883  1 Li 2.68, 4 Ag 2.70-2.84
Ag  0.2512  0.5024  0.0800  5 Cl 2.68-2.73
Ag  0.5041  0.0083  0.1557  5 Cl 2.56-2.74
Ag  0.4762  0.9524  0.6688  5 Cl 2.59-2.84
Cl  0.6344  0.2687  0.4706  5 Ag 2.65-2.89
Ag  0.4962  0.9924  0.8443  5 Cl 2.56-2.75

## Properties
Crystal system: monoclinic
Formation energy from raw total energies in meV per atom: -615
VASP energy in eV per cell: -74.18
Space-group type: No. 12
Size of the total moment in μB/f.u.: 0.0

---

Entry 8:
Density functional theory data (PBE-GGA) for a geometry-optimized Ca2SmHg3 structure.

Lattice parameters (Å, degrees): 3.8127 3.8127 11.2675 90.00 90.00 90.00
Closest atoms and distances in Å follow each position.
Sites, in units of the cell vectors:
Hg  0.0000  0.0000  0.0000  8 Ca 3.28
Ca  0.5000  0.5000  0.1664  8 Hg 3.28-3.31
Sm  0.5000  0.5000  0.5000  8 Hg 3.26
Hg  0.0000  0.0000  0.3367  4 Sm 3.26, 4 Ca 3.31
Ca  0.5000  0.5000  0.8336  8 Hg 3.28-3.31
Hg  0.0000  0.0000  0.6633  4 Sm 3.26, 4 Ca 3.31

## Properties
Energy relative to the elements in meV/atom: -529.6
Crystal system: tetragonal
VASP energy in eV per cell: -12.81
Space-group type: No. 123
Size of the total moment in μB/f.u.: 0.0